A geometry-optimized RbGaCu2Te4 structure, computed with GGA-PBE.

Its volume is 542.2 Å³/cell. The total magnetization is 0.0 μB/cell. As for the density of states at the Fermi level: 13.94 states/eV/cell. Its formation energy without anion corrections is -170 meV per atom.

It has space group I222 (No. 23), with a = 7.095 Å, b = 8.487 Å, c = 9.004 Å, α = 90.00°, β = 90.00° and γ = 90.00°. The distinct sites, in fractional coordinates, are Rb at (0.000, 0.000, 0.000), Ga at (0.000, 0.500, 0.000), Cu at (0.000, 0.142, 0.500) and Te at (0.235, 0.346, 0.822).

***

A geometry-optimized CeHfPaO6 structure, computed with GGA-PBE.

Its volume is 272.4 Å³/cell. The total magnetization is 2.1 μB/cell. As for the density of states at the Fermi level: 10.27 states/eV/cell. Its formation energy without anion corrections is -3497 meV per atom.

It has space group P4_2nm (No. 102), with a = 5.098 Å, b = 5.098 Å, c = 10.480 Å, α = 90.00°, β = 90.00° and γ = 90.00°. The distinct sites, in fractional coordinates, are Ce at (0.000, 0.000, 0.000), Hf at (0.000, 0.000, 0.668), Pa at (0.000, 0.000, 0.334), O at (0.179, 0.179, 0.508), O at (0.194, 0.194, 0.819) and O at (0.205, 0.205, 0.178).

***

A geometry-optimized CaSmGdAl structure, computed with GGA-PBE.

Its volume is 455.8 Å³/cell. The total magnetization is 29.0 μB/cell. As for the density of states at the Fermi level: 16.23 states/eV/cell. For the formation energy, the calculation gives -68 meV/atom.

It has space group F-43m (No. 216), with a = 7.696 Å, b = 7.696 Å, c = 7.696 Å, α = 90.00°, β = 90.00° and γ = 90.00°. The distinct sites, in fractional coordinates, are Ca at (0.000, 0.000, 0.000), Sm at (0.250, 0.250, 0.750), Gd at (0.250, 0.250, 0.250) and Al at (0.000, 0.000, 0.500).

***

A geometry-optimized NdYTh2 structure, computed with GGA-PBE.

Its volume is 527.1 Å³/cell. The total magnetization is 0.0 μB/cell. As for the density of states at the Fermi level: 29.43 states/eV/cell. For the formation energy, the calculation gives 189 meV/atom.

It has space group Fm-3m (No. 225), with a = 8.078 Å, b = 8.078 Å, c = 8.078 Å, α = 90.00°, β = 90.00° and γ = 90.00°. The distinct sites, in fractional coordinates, are Nd at (0.000, 0.000, 0.000), Y at (0.000, 0.000, 0.500) and Th at (0.250, 0.250, 0.250).

***

density of states at the Fermi level of number 2 (CeHfPaO6)? 10.27 states/eV/cell

***

Copy entry 1 word for word.
A geometry-optimized RbGaCu2Te4 structure, computed with GGA-PBE.

Its volume is 542.2 Å³/cell. The total magnetization is 0.0 μB/cell. As for the density of states at the Fermi level: 13.94 states/eV/cell. Its formation energy without anion corrections is -170 meV per atom.

It has space group I222 (No. 23), with a = 7.095 Å, b = 8.487 Å, c = 9.004 Å, α = 90.00°, β = 90.00° and γ = 90.00°. The distinct sites, in fractional coordinates, are Rb at (0.000, 0.000, 0.000), Ga at (0.000, 0.500, 0.000), Cu at (0.000, 0.142, 0.500) and Te at (0.235, 0.346, 0.822).

***

Among the records above, which one has the lowest density of states at the Fermi level? CeHfPaO6